#1
First-principles (PBE) data for a geometry-optimized Y6Ho3Tm structure, as listed in Alexandria.

Unit cell a=6.3684 b=11.5083 c=11.5083 alpha=130.59 beta=90.00 gamma=90.00
Last column: nearest neighbours and their distance in Å.
Atoms (fractional coordinates):
Y: 0.0682 0.7421 0.6216  3 Ho 3.35-3.52, 4 Y 3.50-3.67, 1 Tm 3.72
Y: 0.5682 0.6216 0.7421  3 Ho 3.35-3.52, 4 Y 3.50-3.67, 1 Tm 3.72
Y: 0.3263 0.4582 0.8955  2 Ho 3.24-3.39, 3 Y 3.40-3.56, 2 Tm 3.55-3.62
Y: 0.8263 0.8955 0.4582  2 Ho 3.24-3.39, 3 Y 3.40-3.56, 2 Tm 3.55-3.62
Y: 0.3199 0.9849 0.0151  4 Y 3.25-3.57, 1 Tm 3.30, 4 Ho 3.54-3.55
Y: 0.7866 0.3006 0.6994  1 Ho 3.15, 1 Tm 3.28, 2 Y 3.41
Y: 0.2866 0.6994 0.3006  1 Ho 3.15, 1 Tm 3.28, 2 Y 3.41
Y: 0.8199 0.0151 0.9849  4 Y 3.25-3.57, 1 Tm 3.30, 4 Ho 3.54-3.55
Y: 0.3263 0.1045 0.5418  2 Ho 3.24-3.39, 3 Y 3.40-3.56, 2 Tm 3.55-3.62
Y: 0.8263 0.5418 0.1045  2 Ho 3.24-3.39, 3 Y 3.40-3.56, 2 Tm 3.55-3.62
Y: 0.0682 0.3784 0.2579  3 Ho 3.35-3.52, 4 Y 3.50-3.67, 1 Tm 3.72
Y: 0.5682 0.2579 0.3784  3 Ho 3.35-3.52, 4 Y 3.50-3.67, 1 Tm 3.72
Ho: 0.4895 0.9594 0.7051  2 Ho 3.23-3.40, 5 Y 3.24-3.55, 1 Tm 3.48
Ho: 0.9895 0.7051 0.9594  2 Ho 3.23-3.40, 5 Y 3.24-3.55, 1 Tm 3.48
Ho: 0.0925 0.4192 0.5808  5 Y 3.15-3.52, 2 Ho 3.40
Ho: 0.5925 0.5808 0.4192  5 Y 3.15-3.52, 2 Ho 3.40
Ho: 0.9895 0.0406 0.2949  2 Ho 3.23-3.40, 5 Y 3.24-3.55, 1 Tm 3.48
Ho: 0.4895 0.2949 0.0406  2 Ho 3.23-3.40, 5 Y 3.24-3.55, 1 Tm 3.48
Tm: 0.0185 0.1607 0.8393  6 Y 3.28-3.62, 2 Ho 3.48
Tm: 0.5185 0.8393 0.1607  6 Y 3.28-3.62, 2 Ho 3.48

Output
Volume (Å³/cell): 640.5
D(E_F) (states/eV/f.u.): 16.620
Symmetry: Cmc2_1 (36)

=====

#2
First-principles (PBE) data for a geometry-optimized Y6Ho3Tm structure, as listed in Alexandria.

Unit cell a=6.2286 b=10.9271 c=10.9271 alpha=119.87 beta=90.00 gamma=90.00
Last column: nearest neighbours and their distance in Å.
Atoms (fractional coordinates):
Y: 0.0386 0.7098 0.6189  4 Ho 3.39-3.63, 5 Y 3.41-3.76
Y: 0.5386 0.6189 0.7098  4 Ho 3.39-3.63, 5 Y 3.41-3.76
Y: 0.3571 0.5353 0.9532  5 Y 3.26-3.48, 2 Ho 3.27-3.58, 2 Tm 3.34-3.38
Y: 0.8571 0.9532 0.5353  5 Y 3.26-3.48, 2 Ho 3.27-3.58, 2 Tm 3.34-3.38
Y: 0.4118 0.9522 0.0478  1 Tm 3.34, 4 Ho 3.52-3.60, 2 Y 3.60
Y: 0.6531 0.2798 0.7202  4 Y 3.26-3.35, 1 Ho 3.33, 2 Tm 3.39-3.44
Y: 0.1531 0.7202 0.2798  4 Y 3.26-3.35, 1 Ho 3.33, 2 Tm 3.39-3.44
Y: 0.9118 0.0478 0.9522  1 Tm 3.34, 4 Ho 3.52-3.60, 2 Y 3.60
Y: 0.3571 0.0468 0.4647  5 Y 3.26-3.48, 2 Ho 3.27-3.58, 2 Tm 3.34-3.38
Y: 0.8571 0.4647 0.0468  5 Y 3.26-3.48, 2 Ho 3.27-3.58, 2 Tm 3.34-3.38
Y: 0.0386 0.3811 0.2902  4 Ho 3.39-3.63, 5 Y 3.41-3.76
Y: 0.5386 0.2902 0.3811  4 Ho 3.39-3.63, 5 Y 3.41-3.76
Ho: 0.4544 0.9396 0.7203  1 Tm 3.23, 6 Y 3.27-3.60
Ho: 0.9544 0.7203 0.9396  1 Tm 3.23, 6 Y 3.27-3.60
Ho: 0.0717 0.3896 0.6105  7 Y 3.33-3.71, 1 Tm 3.50, 2 Ho 3.69
Ho: 0.5717 0.6105 0.3896  7 Y 3.33-3.71, 1 Tm 3.50, 2 Ho 3.69
Ho: 0.9544 0.0604 0.2797  1 Tm 3.23, 6 Y 3.27-3.60
Ho: 0.4544 0.2797 0.0604  1 Tm 3.23, 6 Y 3.27-3.60
Tm: 0.1486 0.2062 0.7938  3 Ho 3.23-3.50, 7 Y 3.34-3.44
Tm: 0.6486 0.7938 0.2062  3 Ho 3.23-3.50, 7 Y 3.34-3.44

Output
Volume (Å³/cell): 644.9
D(E_F) (states/eV/f.u.): 15.283
Symmetry: Cmc2_1 (36)

=====

Stability summary: most stable #1, least stable #2.

=====

#1
First-principles (PBE) data for a geometry-optimized YHo4Tm structure, as listed in Alexandria.

Unit cell a=3.5280 b=9.3244 c=10.5771 alpha=145.02 beta=70.52 gamma=100.95
Last column: nearest neighbours and their distance in Å.
Atoms (fractional coordinates):
Y: 0.0000 0.0000 0.0000  10 Ho 3.52-3.54, 2 Y 3.53
Ho: 0.8349 0.6661 0.4979  2 Tm 3.51-3.52, 3 Y 3.52-3.54, 7 Ho 3.52-3.55
Ho: 0.1651 0.3338 0.5021  2 Tm 3.51-3.52, 3 Y 3.52-3.54, 7 Ho 3.52-3.55
Ho: 0.3319 0.6665 0.0016  7 Ho 3.50-3.53, 3 Tm 3.51-3.52, 2 Y 3.54
Ho: 0.6681 0.3334 0.9984  7 Ho 3.50-3.53, 3 Tm 3.51-3.52, 2 Y 3.54
Tm: 0.5000 0.0000 0.5000  10 Ho 3.51-3.52, 2 Tm 3.53

Output
Volume (Å³/cell): 185.8
D(E_F) (states/eV/f.u.): 7.919
Symmetry: P-1 (2)

=====

#2
First-principles (PBE) data for a geometry-optimized YHo4Tm structure, as listed in Alexandria.

Unit cell a=6.4000 b=8.7559 c=8.5350 alpha=111.95 beta=100.64 gamma=111.79
Last column: nearest neighbours and their distance in Å.
Atoms (fractional coordinates):
Y: 0.3348 0.5848 0.1696  10 Ho 3.49-3.83
Y: 0.6652 0.4152 0.8304  10 Ho 3.49-3.83
Ho: 0.0479 0.1680 0.7436  4 Ho 3.29-3.64, 2 Tm 3.39-3.51, 2 Y 3.49-3.54
Ho: 0.7486 0.7106 0.6068  6 Ho 3.29-3.64, 2 Tm 3.34-3.43, 1 Y 3.64
Ho: 0.1956 0.5756 0.7436  4 Ho 3.29-3.64, 2 Tm 3.39-3.51, 2 Y 3.49-3.54
Ho: 0.3582 0.8962 0.6068  6 Ho 3.29-3.64, 2 Tm 3.34-3.43, 1 Y 3.64
Ho: 0.6418 0.1038 0.3932  6 Ho 3.29-3.64, 2 Tm 3.34-3.43, 1 Y 3.64
Ho: 0.8044 0.4244 0.2564  4 Ho 3.29-3.64, 2 Tm 3.39-3.51, 2 Y 3.49-3.54
Ho: 0.2514 0.2894 0.3932  6 Ho 3.29-3.64, 2 Tm 3.34-3.43, 1 Y 3.64
Ho: 0.9521 0.8320 0.2564  4 Ho 3.29-3.64, 2 Tm 3.39-3.51, 2 Y 3.49-3.54
Tm: 0.2519 0.0019 0.0038  2 Tm 3.20, 8 Ho 3.34-3.51
Tm: 0.7481 0.9981 0.9962  2 Tm 3.20, 8 Ho 3.34-3.51

Output
Volume (Å³/cell): 381.8
D(E_F) (states/eV/f.u.): 9.854
Symmetry: C2/c (15)

=====

#3
First-principles (PBE) data for a geometry-optimized YHo4Tm structure, as listed in Alexandria.

Unit cell a=6.5163 b=6.5163 c=6.5163 alpha=60.00 beta=60.00 gamma=60.00
Last column: nearest neighbours and their distance in Å.
Atoms (fractional coordinates):
Y: 0.2500 0.2500 0.2500  12 Ho 3.82, 4 Tm 3.99
Tm: 0.0000 0.0000 0.0000  12 Ho 3.82, 4 Y 3.99
Ho: 0.6250 0.6250 0.1251  6 Ho 3.26
Ho: 0.6250 0.1251 0.6250  6 Ho 3.26
Ho: 0.6250 0.6250 0.6250  6 Ho 3.26
Ho: 0.1251 0.6250 0.6250  6 Ho 3.26

Output
Volume (Å³/cell): 195.7
D(E_F) (states/eV/f.u.): 9.586
Symmetry: F-43m (216)

=====

Stability summary: most stable #1, least stable #3.

=====

#1
First-principles (PBE) data for a geometry-optimized Y8HoTm6 structure, as listed in Alexandria.

Unit cell a=9.6754 b=9.6754 c=8.1094 alpha=53.38 beta=53.38 gamma=60.00
Last column: nearest neighbours and their distance in Å.
Atoms (fractional coordinates):
Y: 0.3564 0.2293 0.4833  3 Tm 3.26-3.49, 2 Y 3.62
Y: 0.7707 0.0690 0.5167  3 Tm 3.26-3.49, 2 Y 3.62
Y: 0.0690 0.6436 0.5167  3 Tm 3.26-3.49, 2 Y 3.62
Y: 0.5893 0.5893 0.2320  3 Tm 3.11, 1 Y 3.15
Y: 0.4107 0.4107 0.7680  3 Tm 3.11, 1 Y 3.15
Y: 0.9310 0.3564 0.4833  3 Tm 3.26-3.49, 2 Y 3.62
Y: 0.2293 0.9310 0.4833  3 Tm 3.26-3.49, 2 Y 3.62
Y: 0.6436 0.7707 0.5167  3 Tm 3.26-3.49, 2 Y 3.62
Ho: 0.0000 0.0000 0.0000  6 Tm 3.33, 6 Y 3.70
Tm: 0.3857 0.9381 0.9645  3 Y 3.11-3.43, 1 Ho 3.33, 3 Tm 3.34-3.41
Tm: 0.0619 0.2883 0.0355  3 Y 3.11-3.43, 1 Ho 3.33, 3 Tm 3.34-3.41
Tm: 0.2883 0.6143 0.0355  3 Y 3.11-3.43, 1 Ho 3.33, 3 Tm 3.34-3.41
Tm: 0.7117 0.3857 0.9645  3 Y 3.11-3.43, 1 Ho 3.33, 3 Tm 3.34-3.41
Tm: 0.9381 0.7117 0.9645  3 Y 3.11-3.43, 1 Ho 3.33, 3 Tm 3.34-3.41
Tm: 0.6143 0.0619 0.0355  3 Y 3.11-3.43, 1 Ho 3.33, 3 Tm 3.34-3.41

Output
Volume (Å³/cell): 476.6
D(E_F) (states/eV/f.u.): 21.881
Symmetry: R-3 (148)

=====

#2
First-principles (PBE) data for a geometry-optimized Y8HoTm6 structure, as listed in Alexandria.

Unit cell a=6.5608 b=9.3152 c=9.3152 alpha=120.00 beta=90.00 gamma=90.00
Last column: nearest neighbours and their distance in Å.
Atoms (fractional coordinates):
Y: 0.8961 0.9730 0.3100  4 Tm 3.17-3.54, 4 Y 3.32-3.52
Y: 0.8961 0.6900 0.6630  4 Tm 3.17-3.54, 4 Y 3.32-3.52
Y: 0.8961 0.3370 0.0270  4 Tm 3.17-3.54, 4 Y 3.32-3.52
Y: 0.1039 0.0270 0.6900  4 Tm 3.17-3.54, 4 Y 3.32-3.52
Y: 0.1039 0.3100 0.3370  4 Tm 3.17-3.54, 4 Y 3.32-3.52
Y: 0.1039 0.6630 0.9730  4 Tm 3.17-3.54, 4 Y 3.32-3.52
Y: 0.8161 0.3333 0.6667  6 Y 3.38-3.52, 3 Tm 3.58
Y: 0.1839 0.6667 0.3333  6 Y 3.38-3.52, 3 Tm 3.58
Ho: 0.5000 0.0000 0.0000  6 Tm 3.53
Tm: 0.5951 0.6778 0.0858  1 Tm 3.13, 3 Y 3.17-3.48
Tm: 0.5951 0.9142 0.5920  1 Tm 3.13, 3 Y 3.17-3.48
Tm: 0.5951 0.4080 0.3222  1 Tm 3.13, 3 Y 3.17-3.48
Tm: 0.4049 0.3222 0.9142  1 Tm 3.13, 3 Y 3.17-3.48
Tm: 0.4049 0.0858 0.4080  1 Tm 3.13, 3 Y 3.17-3.48
Tm: 0.4049 0.5920 0.6778  1 Tm 3.13, 3 Y 3.17-3.48

Output
Volume (Å³/cell): 493.0
D(E_F) (states/eV/f.u.): 23.272
Symmetry: P-3 (147)

=====

Stability summary: most stable #1, least stable #2.

=====

#1
First-principles (PBE) data for a geometry-optimized YHo6Tm8 structure, as listed in Alexandria.

Unit cell a=8.9307 b=8.9307 c=8.5300 alpha=58.43 beta=58.43 gamma=60.00
Last column: nearest neighbours and their distance in Å.
Atoms (fractional coordinates):
Y: 0.0000 0.0000 0.0000  6 Ho 3.38, 6 Tm 3.50
Ho: 0.4597 0.8855 0.8754  4 Tm 3.34-3.68, 1 Y 3.38, 4 Ho 3.43-3.68
Ho: 0.1145 0.2206 0.1246  4 Tm 3.34-3.68, 1 Y 3.38, 4 Ho 3.43-3.68
Ho: 0.2206 0.5403 0.1246  4 Tm 3.34-3.68, 1 Y 3.38, 4 Ho 3.43-3.68
Ho: 0.7794 0.4597 0.8754  4 Tm 3.34-3.68, 1 Y 3.38, 4 Ho 3.43-3.68
Ho: 0.8855 0.7794 0.8754  4 Tm 3.34-3.68, 1 Y 3.38, 4 Ho 3.43-3.68
Ho: 0.5403 0.1145 0.1246  4 Tm 3.34-3.68, 1 Y 3.38, 4 Ho 3.43-3.68
Tm: 0.7216 0.1092 0.4283  5 Tm 3.35-3.38, 3 Ho 3.36-3.68, 1 Y 3.50
Tm: 0.8908 0.2592 0.5717  5 Tm 3.35-3.38, 3 Ho 3.36-3.68, 1 Y 3.50
Tm: 0.2592 0.2784 0.5717  5 Tm 3.35-3.38, 3 Ho 3.36-3.68, 1 Y 3.50
Tm: 0.5763 0.5763 0.2712  4 Tm 3.11-3.38, 3 Ho 3.34
Tm: 0.4237 0.4237 0.7288  4 Tm 3.11-3.38, 3 Ho 3.34
Tm: 0.7408 0.7216 0.4283  5 Tm 3.35-3.38, 3 Ho 3.36-3.68, 1 Y 3.50
Tm: 0.1092 0.7408 0.4283  5 Tm 3.35-3.38, 3 Ho 3.36-3.68, 1 Y 3.50
Tm: 0.2784 0.8908 0.5717  5 Tm 3.35-3.38, 3 Ho 3.36-3.68, 1 Y 3.50

Output
Volume (Å³/cell): 469.4
D(E_F) (states/eV/f.u.): 22.339
Symmetry: R-3 (148)

=====

#2
First-principles (PBE) data for a geometry-optimized YHo6Tm8 structure, as listed in Alexandria.

Unit cell a=6.3994 b=9.3236 c=9.3236 alpha=120.00 beta=90.00 gamma=90.00
Last column: nearest neighbours and their distance in Å.
Atoms (fractional coordinates):
Y: 0.5000 0.0000 0.0000  6 Ho 3.57, 6 Tm 3.99
Ho: 0.5889 0.6818 0.1003  1 Ho 3.15, 3 Tm 3.19-3.41
Ho: 0.5889 0.8997 0.5815  1 Ho 3.15, 3 Tm 3.19-3.41
Ho: 0.5889 0.4185 0.3182  1 Ho 3.15, 3 Tm 3.19-3.41
Ho: 0.4111 0.3182 0.8997  1 Ho 3.15, 3 Tm 3.19-3.41
Ho: 0.4111 0.1003 0.4185  1 Ho 3.15, 3 Tm 3.19-3.41
Ho: 0.4111 0.5815 0.6818  1 Ho 3.15, 3 Tm 3.19-3.41
Tm: 0.9058 0.9768 0.3131  4 Ho 3.19-3.56, 5 Tm 3.26-3.50
Tm: 0.9058 0.6869 0.6637  4 Ho 3.19-3.56, 5 Tm 3.26-3.50
Tm: 0.9058 0.3363 0.0232  4 Ho 3.19-3.56, 5 Tm 3.26-3.50
Tm: 0.0942 0.0232 0.6869  4 Ho 3.19-3.56, 5 Tm 3.26-3.50
Tm: 0.0942 0.3131 0.3363  4 Ho 3.19-3.56, 5 Tm 3.26-3.50
Tm: 0.0942 0.6637 0.9768  4 Ho 3.19-3.56, 5 Tm 3.26-3.50
Tm: 0.8428 0.3333 0.6667  6 Tm 3.33-3.40, 3 Ho 3.56
Tm: 0.1572 0.6667 0.3333  6 Tm 3.33-3.40, 3 Ho 3.56

Output
Volume (Å³/cell): 481.8
D(E_F) (states/eV/f.u.): 22.704
Symmetry: P-3 (147)

=====

Stability summary: most stable #1, least stable #2.